A plane-wave DFT calculation with PBE was carried out for CoPS2I after structural relaxation.

a b c (Å): 5.035 5.035 5.197
angles (deg): 90.00 90.00 90.00
Last column: magnetic moment on the atom in μB.
Sites, in units of the cell vectors:
I1 0.000 0.000 0.000  -0.01
P1 0.000 0.000 0.500  0.24
S1 0.000 0.500 0.000  0.13
S2 0.500 0.000 0.000  0.13
Co1 0.500 0.500 0.500  2.33

Values from the calculation:
Formation energy (no corrections)   1659.4 meV/atom
E   -14.024 eV per cell
Excess energy over the best structure of this formula in the dataset   1132 meV/atom
Total magnetization   3.33 μB/cell

---

A plane-wave DFT calculation with PBE was carried out for In2ReSi after structural relaxation.

a b c (Å): 10.305 10.305 7.648
angles (deg): 47.65 47.65 90.00
Sites, in units of the cell vectors:
Re1 0.000 0.000 0.000
Re2 0.750 0.250 0.500
Si1 0.500 0.500 0.000
Si2 0.250 0.750 0.500
In1 0.875 0.125 0.250
In2 0.875 0.625 0.250
In3 0.375 0.125 0.750
In4 0.875 0.125 0.750

Values from the calculation:
Formation energy (no corrections)   398.1 meV/atom
E   -43.511 eV per cell
Total magnetization   0.00 μB/cell

---

A plane-wave DFT calculation with PBE was carried out for KCd2InHg8 after structural relaxation.

a b c (Å): 5.620 5.620 12.054
angles (deg): 87.93 87.93 68.38
Sites, in units of the cell vectors:
K1 0.000 0.000 0.500
Cd1 0.702 0.702 0.320
Cd2 0.298 0.298 0.680
In1 0.000 0.000 0.000
Hg1 0.790 0.288 0.783
Hg2 0.672 0.672 0.002
Hg3 0.650 0.650 0.573
Hg4 0.350 0.350 0.427
Hg5 0.328 0.328 0.998
Hg6 0.288 0.790 0.783
Hg7 0.712 0.210 0.217
Hg8 0.210 0.712 0.217

Values from the calculation:
E_form   -0.3 eV per formula unit
E   -8.430 eV per cell
Total magnetization   0.00 μB/cell

---

Number 3 is which compound?
KCd2InHg8

---

The lowest E belongs to which entry?
In2ReSi